(1)
! NdSm8Hg2 PBE-GGA optimized geometry; values from VASP
! Spin magnetization ... 0.0 μB per cell
! Total energy ... -43.758 eV for the cell shown
! Space-group type ... No. 12
&SYSTEM
  ibrav = 0, nat = 11, ntyp = 3
/
ATOMIC_SPECIES
Nd 144.24 Nd.upf
Sm 150.36 Sm.upf
Hg 200.59 Hg.upf
CELL_PARAMETERS angstrom
4.4465 -7.5976 0.0000
4.4465 7.5976 0.0000
-2.0577 0.0000 5.3298
ATOMIC_POSITIONS crystal
Nd 0.0000 0.0000 0.0000
Sm 0.0915 0.3190 0.6069
Sm 0.2258 0.7742 0.0000
Sm 0.3190 0.0915 0.6069
Sm 0.4022 0.4022 0.2018
Sm 0.5978 0.5978 0.7982
Sm 0.6810 0.9085 0.3931
Sm 0.7742 0.2258 0.0000
Sm 0.9085 0.6810 0.3931
Hg 0.3060 0.6940 0.5000
Hg 0.6940 0.3060 0.5000

=====

(2)
! NdSmHg3 PBE-GGA optimized geometry; values from VASP
! Spin magnetization ... 0.0 μB per cell
! E above lowest polymorph ... 0.267 eV per atom
! Total energy ... -22.328 eV for the cell shown
! Space-group type ... No. 194
&SYSTEM
  ibrav = 0, nat = 10, ntyp = 3
/
ATOMIC_SPECIES
Nd 144.24 Nd.upf
Sm 150.36 Sm.upf
Hg 200.59 Hg.upf
CELL_PARAMETERS angstrom
7.3324 0.0000 0.0000
-3.6662 6.3501 0.0000
0.0000 0.0000 6.5113
ATOMIC_POSITIONS crystal
Nd 0.0000 0.0000 0.0000
Nd 0.0000 0.0000 0.5000
Sm 0.3333 0.6667 0.2500
Sm 0.6667 0.3333 0.7500
Hg 0.2031 0.4063 0.7500
Hg 0.2031 0.7969 0.7500
Hg 0.4063 0.2031 0.2500
Hg 0.5937 0.7969 0.7500
Hg 0.7969 0.2031 0.2500
Hg 0.7969 0.5937 0.2500

=====

no.,ΔH_f (0 K) (eV per formula unit),Fermi-level density of states (states/eV/atom)
1,-0.63,1.174
2,-0.77,1.107